PBE-GGA PuMg16Zn12, optimized geometry; electronic total energy = -1.9444 eV/atom; E_form = -0.043 eV/atom; space group = Cm (8)
1.0
-8.646 2.953 -1.492
4.788 -0.925 -7.869
-0.354 -7.678 3.924
Pu Mg Zn
1 16 12
Direct
0.589 0.589 0.234 Pu
0.359 0.359 0.362 Mg
0.007 0.007 0.001 Mg
0.983 0.983 0.628 Mg
0.327 0.327 0.738 Mg
0.697 0.367 0.988 Mg
0.598 0.277 0.597 Mg
0.003 0.680 0.390 Mg
0.994 0.681 0.011 Mg
0.707 0.313 0.308 Mg
0.399 0.988 0.691 Mg
0.988 0.399 0.691 Mg
0.313 0.707 0.308 Mg
0.681 0.994 0.011 Mg
0.680 0.003 0.390 Mg
0.277 0.598 0.597 Mg
0.367 0.697 0.988 Mg
0.869 0.869 0.228 Zn
0.641 0.641 0.863 Zn
0.349 0.176 0.989 Zn
0.796 0.625 0.622 Zn
0.214 0.024 0.389 Zn
0.366 0.007 0.186 Zn
0.155 0.808 0.802 Zn
0.808 0.155 0.802 Zn
0.007 0.366 0.186 Zn
0.024 0.214 0.389 Zn
0.625 0.796 0.622 Zn
0.176 0.349 0.989 Zn